Crystalline YV2GaAs at its relaxed geometry. Source: Alexandria, functional PBE.

energy relative to the elements = 0.27 eV per atom
space group = P4/mmm, No. 123

Structure (POSCAR):
```
YV2GaAs
1.0
4.651 0.000 0.000
0.000 4.651 0.000
0.000 0.000 5.292
Y V Ga As
1 2 1 1
Cartesian
0.000 0.000 0.000
0.000 2.325 2.646
2.325 0.000 2.646
2.325 2.325 0.000
0.000 0.000 2.646
```

Crystalline YV2GaAs at its relaxed geometry. Source: Alexandria, functional PBE.

energy relative to the elements = 1.72 eV per atom
space group = P4/mmm, No. 123

Structure (POSCAR):
```
YV2GaAs
1.0
4.879 0.000 0.000
0.000 4.879 0.000
0.000 0.000 5.219
Y V Ga As
1 2 1 1
Cartesian
0.000 0.000 0.000
0.000 2.439 0.000
2.439 0.000 0.000
0.000 0.000 2.609
2.439 2.439 2.609
```

Crystalline Ga2AsW at its relaxed geometry. Source: Alexandria, functional PBE.

energy relative to the elements = 0.60 eV per atom
space group = I-42d, No. 122

Structure (POSCAR):
```
Ga2AsW
1.0
-3.723 3.723 2.592
3.723 -3.723 2.592
3.723 3.723 -2.592
Ga As W
4 2 2
Cartesian
1.861 1.800 -0.648
1.922 -1.861 3.240
1.861 1.922 1.944
1.800 5.584 0.648
3.723 0.000 1.296
0.000 0.000 2.592
0.000 0.000 0.000
0.000 3.723 1.296
```

Crystalline Ga3AsW at its relaxed geometry. Source: Alexandria, functional PBE.

energy relative to the elements = 1.34 eV per atom
space group = Pm-3m, No. 221

Structure (POSCAR):
```
Ga3AsW
1.0
4.867 0.000 0.000
0.000 4.867 0.000
0.000 0.000 4.867
Ga As W
3 1 1
Cartesian
0.000 0.000 2.433
0.000 2.433 0.000
2.433 0.000 0.000
0.000 0.000 0.000
2.433 2.433 2.433
```

Crystalline GaAs2W at its relaxed geometry. Source: Alexandria, functional PBE.

energy relative to the elements = 0.41 eV per atom
space group = I-42d, No. 122

Structure (POSCAR):
```
GaAs2W
1.0
-2.919 2.919 5.723
2.919 -2.919 5.723
2.919 2.919 -5.723
Ga As W
2 4 2
Cartesian
0.000 0.000 0.000
0.000 2.919 2.862
1.460 -1.360 4.293
1.559 1.460 1.431
1.460 4.279 -1.431
1.360 1.460 7.154
2.919 0.000 2.862
0.000 0.000 5.723
```

Crystalline Ga3AsW at its relaxed geometry. Source: Alexandria, functional PBE.

energy relative to the elements = 0.86 eV per atom
space group = Pm-3m, No. 221

Structure (POSCAR):
```
Ga3AsW
1.0
4.939 0.000 0.000
0.000 4.939 0.000
0.000 0.000 4.939
Ga As W
3 1 1
Cartesian
0.000 0.000 2.470
0.000 2.470 0.000
2.470 0.000 0.000
2.470 2.470 2.470
0.000 0.000 0.000
```

Crystalline GaAs3W at its relaxed geometry. Source: Alexandria, functional PBE.

energy relative to the elements = 0.45 eV per atom
space group = Pm-3m, No. 221

Structure (POSCAR):
```
GaAs3W
1.0
4.939 0.000 0.000
0.000 4.939 0.000
0.000 0.000 4.939
Ga As W
1 3 1
Cartesian
0.000 0.000 0.000
0.000 2.469 2.469
2.469 0.000 2.469
2.469 2.469 0.000
2.469 2.469 2.469
```

Crystalline GaAs2W at its relaxed geometry. Source: Alexandria, functional PBE.

energy relative to the elements = 0.67 eV per atom
space group = F-43m, No. 216

Structure (POSCAR):
```
GaAs2W
1.0
0.000 3.238 3.238
3.238 0.000 3.238
3.238 3.238 0.000
Ga As W
1 2 1
Cartesian
0.000 0.000 0.000
1.619 1.619 1.619
3.238 3.238 3.238
4.857 4.857 4.857
```

Crystalline Y2GaAs at its relaxed geometry. Source: Alexandria, functional PBE.

energy relative to the elements = -0.69 eV per atom
space group = Fm-3m, No. 225

Structure (POSCAR):
```
Y2GaAs
1.0
0.000 3.598 3.598
3.598 0.000 3.598
3.598 3.598 0.000
Y Ga As
2 1 1
Cartesian
1.799 1.799 1.799
5.397 5.397 5.397
0.000 0.000 0.000
3.598 3.598 3.598
```

Crystalline YGa3As at its relaxed geometry. Source: Alexandria, functional PBE.

energy relative to the elements = 0.85 eV per atom
space group = Pm-3m, No. 221

Structure (POSCAR):
```
YGa3As
1.0
5.455 0.000 0.000
0.000 5.455 0.000
0.000 0.000 5.455
Y Ga As
1 3 1
Cartesian
0.000 0.000 0.000
0.000 0.000 2.727
0.000 2.727 0.000
2.727 0.000 0.000
2.727 2.727 2.727
```

Crystalline Y2GaAs2 at its relaxed geometry. Source: Alexandria, functional PBE.

energy relative to the elements = -0.84 eV per atom
space group = P4/mbm, No. 127

Structure (POSCAR):
```
Y2GaAs2
1.0
7.880 0.000 0.000
0.000 7.880 0.000
0.000 0.000 3.810
Y Ga As
4 2 4
Cartesian
1.189 2.751 0.000
2.751 6.691 0.000
5.129 1.189 0.000
6.691 5.129 0.000
0.000 0.000 0.000
3.940 3.940 0.000
1.245 5.185 1.905
2.695 1.245 1.905
5.185 6.635 1.905
6.635 2.695 1.905
```

Crystalline YGa2As2 at its relaxed geometry. Source: Alexandria, functional PBE.

energy relative to the elements = -0.40 eV per atom
space group = I4/mmm, No. 139

Structure (POSCAR):
```
YGa2As2
1.0
-2.516 2.516 4.218
2.516 -2.516 4.218
2.516 2.516 -4.218
Y Ga As
1 2 2
Cartesian
0.000 0.000 0.000
0.000 0.000 2.980
0.000 0.000 5.456
2.516 0.000 2.109
0.000 2.516 2.109
```

So what do the calculations give for calculated volume? Going down the list: 114.5, 124.2, 143.7, 115.3, 195.1, 120.5, 120.4, 67.9, 93.1, 162.3, 236.6, 106.8 Å³ per cell.